# La6P2IrBr3

A relaxed La6P2IrBr3 crystal (GGA-PBE, Alexandria).

Cell and atoms, written as POSCAR:
```
La6P2IrBr3
1.0
9.6984 -2.0841 0.0000
9.6984 2.0841 0.0000
-2.5149 0.0000 8.7280
La P Ir Br
6 2 1 3
Direct
0.0081 0.0081 0.2169
0.3235 0.3235 0.4387
0.3404 0.3404 0.8899
0.6596 0.6596 0.1101
0.6765 0.6765 0.5613
0.9919 0.9919 0.7831
0.1672 0.1672 0.3367
0.8328 0.8328 0.6633
0.5000 0.5000 0.0000
0.1676 0.1676 0.8310
0.5000 0.5000 0.5000
0.8324 0.8324 0.1690
```

The formation energy (no corrections) comes out at -1.4420 eV/atom. The total energy is -5.964 eV per atom.